La4NdEr: optimized geometry, PBE.

Results
DFT formation energy in eV/atom: 0.097
E_tot in eV/atom: -4.743

The structure in CIF format:
```
data_La4NdEr
_chemical_formula_sum 'La8 Nd2 Er2'
_space_group_name_H-M_alt 'C m m m'
_space_group_IT_number 65
_space_group_name_Hall '-C 2 2'
_cell_length_a 6.141
_cell_length_b 11.367
_cell_length_c 6.134
_cell_angle_alpha 90.00
_cell_angle_beta 90.00
_cell_angle_gamma 90.00
loop_
_atom_site_label
_atom_site_fract_x
_atom_site_fract_y
_atom_site_fract_z
La1 0.000 0.158 0.000
La2 0.000 0.341 0.500
Nd1 0.000 0.500 0.000
Er1 0.000 0.000 0.500
```